[1]
Below is a relaxed structure of Nb2HCSe, with properties calculated at the PBE-GGA level.

Summary:
Total magnetization = 0.00 μB/cell
Total DFT energy (no corrections) = -7.735 eV/atom

Cell and atoms, written as extended XYZ:
```
5
Lattice="3.2514 0.0000 0.0000 -1.6257 2.8158 0.0000 0.0000 0.0000 8.8456" Properties=species:S:1:pos:R:3 pbc="T T T"
C 0.0000 0.0000 0.2018
H 0.0000 1.8772 2.3200
Nb 1.6257 0.9386 1.3398
Nb 0.0000 1.8772 7.8201
Se 1.6257 0.9386 6.0096
```

***

[2]
Below is a relaxed structure of Ba2ZnOsS6, with properties calculated at the PBE-GGA level.

Summary:
Total magnetization = 1.99 μB/cell
Total DFT energy (no corrections) = -4.925 eV/atom

Cell and atoms, written as extended XYZ:
```
10
Lattice="2.1813 -0.9355 6.7215 5.3563 4.6982 0.2226 -6.6804 1.3718 -2.0744" Properties=species:S:1:pos:R:3 pbc="T T T"
Ba -0.3651 1.1589 4.0596
Ba 1.2224 3.9757 0.8101
Os 3.7688 1.8814 3.4721
S 2.0980 1.0473 1.9329
S 5.4395 2.7154 5.0113
S 2.5473 0.9593 5.2975
S 2.5532 3.9186 3.6877
S -1.6959 1.2159 1.1820
S -1.6901 4.1753 -0.4278
Zn 0.0000 0.0000 0.0000
```

***

[3]
Below is a relaxed structure of DyZrSi2, with properties calculated at the PBE-GGA level.

Summary:
Total magnetization = 0.01 μB/cell
Total DFT energy (no corrections) = -6.851 eV/atom

Cell and atoms, written as extended XYZ:
```
8
Lattice="-3.7300 0.4553 0.4750 -1.1748 -2.2094 -7.1073 -0.4197 -5.1966 1.6848" Properties=species:S:1:pos:R:3 pbc="T T T"
Dy -3.0043 -2.4494 -6.1425
Dy -0.3472 -3.3910 0.5238
Si -0.3198 -1.1932 -1.3673
Si -0.9734 -3.4360 -4.3507
Si -3.0426 -4.7825 -4.2075
Si -2.5819 -4.9295 -0.4494
Zr -2.5351 -2.7084 -2.2105
Zr -1.0337 -5.8235 -2.5356
```

***

[4]
Below is a relaxed structure of RbScHgSe3, with properties calculated at the PBE-GGA level.

Summary:
Total magnetization = 0.01 μB/cell
Total DFT energy (no corrections) = -4.098 eV/atom

Cell and atoms, written as extended XYZ:
```
24
Lattice="10.7995 0.0000 0.0000 0.0000 4.1075 0.0000 0.0000 0.0000 15.3538" Properties=species:S:1:pos:R:3 pbc="T T T"
Hg 8.0770 1.0269 3.0786
Hg 2.6773 1.0269 4.5983
Hg 8.1222 3.0807 10.7555
Hg 2.7225 3.0807 12.2752
Rb 2.7153 1.0269 0.0368
Rb 8.1151 1.0269 7.6401
Rb 2.6844 3.0807 7.7137
Rb 8.0841 3.0807 15.3171
Sc 10.7834 3.0807 3.8262
Sc 5.3837 3.0807 3.8507
Sc 5.4158 1.0269 11.5032
Sc 0.0160 1.0269 11.5276
Se 10.4265 1.0269 1.9749
Se 5.7149 1.0269 1.9962
Se 2.6655 3.0807 2.8289
Se 8.0652 3.0807 4.8480
Se 0.3152 1.0269 5.6807
Se 5.0268 1.0269 5.7020
Se 5.7726 3.0807 9.6519
Se 10.4843 3.0807 9.6732
Se 2.7343 1.0269 10.5058
Se 8.1340 1.0269 12.5249
Se 5.0845 3.0807 13.3576
Se 0.3729 3.0807 13.3789
```

***

[5]
Below is a relaxed structure of Tl2Pt2O5, with properties calculated at the PBE-GGA level.

Summary:
Total magnetization = 0.01 μB/cell
Total DFT energy (no corrections) = -4.568 eV/atom

Cell and atoms, written as extended XYZ:
```
9
Lattice="-5.0195 -6.8859 4.3442 2.1635 0.2375 2.8762 -2.1785 2.4920 1.4329" Properties=species:S:1:pos:R:3 pbc="T T T"
O 0.4626 -0.7305 1.9739
O -3.3187 -5.9179 5.2465
O -1.7084 0.3967 1.2523
O -5.4897 -4.7906 4.5249
O -2.5173 -2.0782 4.3267
Pt 0.0000 0.0000 0.0000
Pt -2.5097 -3.4430 2.1721
Tl -1.3596 -0.4901 3.3248
Tl -3.6749 -3.6663 5.3286
```

***

[6]
Below is a relaxed structure of Zr4Os3, with properties calculated at the PBE-GGA level.

Summary:
Total magnetization = 0.04 μB/cell
Total DFT energy (no corrections) = -9.702 eV/atom
ΔH_f (0 K) = -0.66 kJ/mol of atoms

Cell and atoms, written as extended XYZ:
```
14
Lattice="5.2331 6.0423 0.0000 -2.6163 7.5527 0.0000 0.0000 0.0000 4.8053" Properties=species:S:1:pos:R:3 pbc="T T T"
Os 2.5525 7.6151 0.0000
Os 0.0862 6.0662 0.0000
Os -0.0219 8.9765 0.0000
Os 1.7666 6.1288 2.4026
Os 1.6583 9.0391 2.4026
Os -0.8080 7.4902 2.4026
Zr 2.4819 4.9120 0.0000
Zr 0.0001 3.0211 0.0000
Zr 2.3545 10.2669 0.0000
Zr -2.2195 7.4790 0.0000
Zr 1.8790 2.6406 2.4026
Zr 3.9640 7.6264 2.4026
Zr -0.6100 4.8384 2.4026
Zr 1.7444 12.0843 2.4026
```

***

[7]
Below is a relaxed structure of LaTmIn2Ni4, with properties calculated at the PBE-GGA level.

Summary:
Total magnetization = 0.01 μB/cell
Total DFT energy (no corrections) = -5.087 eV/atom

Cell and atoms, written as extended XYZ:
```
8
Lattice="4.0421 0.0000 0.0000 0.0000 5.1730 0.0000 0.0000 0.0000 7.0735" Properties=species:S:1:pos:R:3 pbc="T T T"
In 2.0210 2.5865 2.4417
In 2.0210 0.0000 4.5414
La 0.0000 2.5865 5.1744
Ni 2.0210 1.2487 0.0543
Ni 2.0210 3.9243 0.0543
Ni 0.0000 2.5865 0.7997
Ni 0.0000 0.0000 6.2906
Tm 0.0000 0.0000 1.8643
```

***

[8]
Below is a relaxed structure of BeNbTlCu, with properties calculated at the PBE-GGA level.

Summary:
Total magnetization = 0.99 μB/cell
Total DFT energy (no corrections) = -4.454 eV/atom

Cell and atoms, written as extended XYZ:
```
4
Lattice="0.0000 3.1399 3.1399 3.1399 0.0000 3.1399 3.1399 3.1399 0.0000" Properties=species:S:1:pos:R:3 pbc="T T T"
Be 1.5699 1.5699 1.5699
Cu 4.7098 4.7098 4.7098
Nb 3.1399 3.1399 3.1399
Tl 0.0000 0.0000 0.0000
```

***

[9]
Below is a relaxed structure of LaPrCd4Cu2, with properties calculated at the PBE-GGA level.

Summary:
Total magnetization = 0.01 μB/cell
Total DFT energy (no corrections) = -2.875 eV/atom
ΔH_f (0 K) = -27.57 kJ/mol of atoms

Cell and atoms, written as extended XYZ:
```
8
Lattice="-8.1058 0.1990 0.4450 0.2147 -2.3300 4.9522 0.3285 2.0000 5.0883" Properties=species:S:1:pos:R:3 pbc="T T T"
Cd -1.5279 -0.0084 1.5429
Cd -6.4205 0.1118 1.8115
Cd -2.0098 -0.2214 8.7204
Cd -5.1672 -0.1439 8.8937
Cu -3.9058 0.0102 2.9411
Cu 0.3961 -0.2407 7.3222
La 0.2377 -0.1445 4.3946
Pr -3.7474 -0.0861 5.8707
```

***

[10]
Below is a relaxed structure of NaCo3Te5, with properties calculated at the PBE-GGA level.

Summary:
Total magnetization = 0.01 μB/cell
Total DFT energy (no corrections) = -4.343 eV/atom

Cell and atoms, written as extended XYZ:
```
9
Lattice="5.7069 0.0000 0.0000 -2.8534 4.9423 0.0000 0.0000 0.0000 7.6360" Properties=species:S:1:pos:R:3 pbc="T T T"
Co 2.8534 0.0000 3.8180
Co -1.4267 2.4711 3.8180
Co 1.4267 2.4711 3.8180
Na 0.0000 0.0000 0.0000
Te 2.8534 1.6474 1.8864
Te 0.0000 3.2949 1.8864
Te 0.0000 0.0000 3.8180
Te 2.8534 1.6474 5.7496
Te 0.0000 3.2949 5.7496
```

***

[11]
Below is a relaxed structure of YHf3C2S2, with properties calculated at the PBE-GGA level.

Summary:
Total magnetization = 0.01 μB/cell
Total DFT energy (no corrections) = -9.183 eV/atom

Cell and atoms, written as extended XYZ:
```
8
Lattice="-0.0009 -1.1363 -3.2499 -1.6431 -1.7800 2.4464 -10.2941 6.4207 -2.2422" Properties=species:S:1:pos:R:3 pbc="T T T"
C -6.2846 1.6710 -0.5826
C -11.2108 4.7436 -1.6556
Hf -4.1882 2.6123 -0.9123
Hf -6.7271 2.5030 -2.6970
Hf -9.7397 4.3820 -3.3532
S -3.2819 0.3542 -1.9466
S -7.6714 4.7848 -1.6709
Y -1.0562 0.6588 -0.2301
```

***

[12]
Below is a relaxed structure of PrNi4B, with properties calculated at the PBE-GGA level.

Summary:
Total magnetization = 0.00 μB/cell
Total DFT energy (no corrections) = -6.023 eV/atom

Cell and atoms, written as extended XYZ:
```
12
Lattice="-0.1132 -3.1466 -4.0136 4.4621 1.2655 2.1239 -0.4992 -5.4992 4.3254" Properties=species:S:1:pos:R:3 pbc="T T T"
B 1.1623 -4.4255 0.1949
B 2.6874 -2.9548 2.2408
Ni 1.4119 -1.6759 -1.9678
Ni 2.9370 -0.2052 0.0781
Ni -0.2034 -3.1908 -0.7346
Ni 2.0842 -0.9847 2.3342
Ni 2.0276 -2.5581 0.3274
Ni -0.4090 -5.4551 1.0464
Ni 1.8787 -3.2490 4.1151
Ni 1.8221 -4.8223 2.1083
Pr 0.0000 0.0000 0.0000
Pr -0.2496 -2.7496 2.1627
```

***

[13]
Below is a relaxed structure of Zn2Te, with properties calculated at the PBE-GGA level.

Summary:
Total DFT energy (no corrections) = -1.665 eV/atom

Cell and atoms, written as extended XYZ:
```
6
Lattice="0.0000 3.9179 3.9179 3.9179 0.0000 3.9179 3.9179 3.9179 0.0000" Properties=species:S:1:pos:R:3 pbc="T T T"
Te 0.0000 0.0000 0.0000
Te 1.9589 1.9589 1.9589
Zn 2.9384 2.9384 4.8973
Zn 2.9384 4.8973 2.9384
Zn 4.8973 2.9384 2.9384
Zn 4.8973 4.8973 4.8973
```

***

[14]
Below is a relaxed structure of Zr4NiSbN2, with properties calculated at the PBE-GGA level.

Summary:
Total magnetization = 0.01 μB/cell
Total DFT energy (no corrections) = -8.537 eV/atom

Cell and atoms, written as extended XYZ:
```
8
Lattice="-0.5794 -2.4682 -2.1609 -1.1325 -0.2220 3.1250 -11.4740 5.9631 -3.7345" Properties=species:S:1:pos:R:3 pbc="T T T"
N -3.6406 0.4286 0.4867
N -9.7296 3.5931 -1.4951
Ni 0.0000 0.0000 0.0000
Sb -6.5008 1.2621 -2.2662
Zr -2.3680 -0.8858 -0.9211
Zr -3.7824 1.9658 -1.2311
Zr -7.6916 3.9974 -2.5034
Zr -10.6336 3.4099 -3.6113
```

***

[15]
Below is a relaxed structure of Cu2Ag3, with properties calculated at the PBE-GGA level.

Summary:
Total DFT energy (no corrections) = -3.086 eV/atom
ΔH_f (0 K) = 9.21 kJ/mol of atoms

Cell and atoms, written as extended XYZ:
```
10
Lattice="4.8646 0.0000 0.0000 -0.7998 4.7989 0.0000 -1.6704 -2.6157 6.6847" Properties=species:S:1:pos:R:3 pbc="T T T"
Ag 0.7472 2.5981 0.5668
Ag 2.4231 0.4371 1.3073
Ag 3.2359 3.0741 2.0252
Ag 0.0268 0.8423 2.7002
Ag 2.4308 1.2757 4.0927
Ag -0.0095 1.8132 5.3518
Cu 1.6236 -1.2820 3.4357
Cu -0.8622 -0.9107 4.6991
Cu 1.5930 -0.4599 5.9491
Cu 3.1599 -2.5789 6.6378
```

***

[16]
Below is a relaxed structure of Sc2BeMo, with properties calculated at the PBE-GGA level.

Summary:
Total magnetization = 0.01 μB/cell
Total DFT energy (no corrections) = -6.495 eV/atom

Cell and atoms, written as extended XYZ:
```
4
Lattice="0.0000 3.2225 3.2225 3.2225 0.0000 3.2225 3.2225 3.2225 0.0000" Properties=species:S:1:pos:R:3 pbc="T T T"
Be 3.2225 3.2225 3.2225
Mo 1.6112 1.6112 1.6112
Sc 0.0000 0.0000 0.0000
Sc 4.8337 4.8337 4.8337
```

***

[17]
Below is a relaxed structure of ScBAu2, with properties calculated at the PBE-GGA level.

Summary:
Total magnetization = 0.00 μB/cell
Total DFT energy (no corrections) = -4.755 eV/atom

Cell and atoms, written as extended XYZ:
```
4
Lattice="-1.1029 -4.2622 -0.9574 -4.0197 -0.9352 -1.8075 -0.2828 -1.3443 -4.2910" Properties=species:S:1:pos:R:3 pbc="T T T"
Au 0.0000 0.0000 0.0000
Au -4.0541 -4.9063 -5.2918
B -2.7027 -3.2709 -3.5279
Sc -1.3514 -1.6354 -1.7639
```

***

[18]
Below is a relaxed structure of Mg2PdAu, with properties calculated at the PBE-GGA level.

Summary:
Total DFT energy (no corrections) = -3.377 eV/atom

Cell and atoms, written as extended XYZ:
```
4
Lattice="4.4585 -1.0133 0.5371 1.4993 -1.7478 3.9864 1.3510 -4.3953 0.2231" Properties=species:S:1:pos:R:3 pbc="T T T"
Au 3.6544 -3.5782 2.3733
Mg 0.0000 0.0000 0.0000
Mg 1.8272 -1.7891 1.1866
Pd 5.4816 -5.3673 3.5599
```

***

[19]
Below is a relaxed structure of UGaCo, with properties calculated at the PBE-GGA level.

Summary:
Total magnetization = 5.14 μB/cell
Total DFT energy (no corrections) = -6.912 eV/atom

Cell and atoms, written as extended XYZ:
```
9
Lattice="-8.0135 -1.0918 -0.1718 4.9283 -6.3489 0.9168 -0.1034 0.3214 2.7815" Properties=species:S:1:pos:R:3 pbc="T T T"
Co -4.7747 -0.4828 1.2895
Co -1.3185 -2.8946 1.6966
Co 2.8530 -3.5812 1.9311
Ga -3.6995 -2.8442 0.1911
Ga 0.6144 -4.5965 0.5539
Ga -0.0517 0.1607 1.3907
U -2.4760 -0.3373 -0.0531
U 1.5227 -1.9616 0.2833
U -2.1319 -5.1417 0.5148
```

***

[20]
Below is a relaxed structure of TmScGa2Cu4, with properties calculated at the PBE-GGA level.

Summary:
Total magnetization = 0.00 μB/cell
Total DFT energy (no corrections) = -4.344 eV/atom

Cell and atoms, written as extended XYZ:
```
8
Lattice="-2.2131 0.6235 3.5558 0.0212 -3.8140 -1.8393 6.5686 -2.1137 4.4589" Properties=species:S:1:pos:R:3 pbc="T T T"
Cu -0.4119 -1.1956 2.4746
Cu 2.1700 -0.6983 1.4730
Cu 4.3986 -1.4154 2.9859
Cu 4.0439 -2.6294 5.4992
Ga 0.7751 -2.8171 0.9764
Ga 4.3465 -3.9663 3.4007
Sc 0.0000 0.0000 0.0000
Tm 1.8160 -1.9125 3.9869
```